[1]
A plane-wave DFT calculation with PBE-GGA was carried out for a geometry-optimized LaAl2Mo structure.

Values from the calculation:
* electronic total energy: -22.41 eV per formula unit
* symmetry: C2/m
* density of states at the Fermi level: 3.22 states/eV/cell

abc: 5.2868 5.2868 3.0326
angles: 87.45 87.45 108.77
Closest atoms and distances in Å follow each position.
Fractional coordinates of all 4 atoms:
Mo 0.0000 0.5000 0.5000  8 Al 2.99-3.11, 2 Mo 3.03, 2 La 3.08
Al 0.0000 0.0000 0.0000  4 La 2.99-3.11, 4 Mo 2.99-3.11, 4 Al 3.03-3.08
Al 0.5000 0.5000 0.0000  4 Mo 2.99-3.11, 4 La 2.99-3.11, 4 Al 3.03-3.08
La 0.5000 0.0000 0.5000  8 Al 2.99-3.11, 2 La 3.03, 2 Mo 3.08

***

[2]
A plane-wave DFT calculation with PBE-GGA was carried out for a geometry-optimized LaAlMo3 structure.

Values from the calculation:
* electronic total energy: -35.44 eV per formula unit
* symmetry: Pm-3m
* density of states at the Fermi level: 7.09 states/eV/cell

abc: 4.7492 4.7492 4.7492
angles: 90.00 90.00 90.00
Closest atoms and distances in Å follow each position.
Fractional coordinates of all 5 atoms:
Mo 0.0000 0.5000 0.0000  2 Al 2.37
Mo 0.0000 0.0000 0.5000  2 Al 2.37
Mo 0.5000 0.0000 0.0000  2 Al 2.37
Al 0.0000 0.0000 0.0000  6 Mo 2.37
La 0.5000 0.5000 0.5000  12 Mo 3.36